The following is a DFT calculation (GGA-PBEsol) of crystalline LiAgRu3 at its relaxed geometry.

Energy of formation, eV per atom: 2.376

POSCAR file:
```
LiAgRu3
1.0
4.784 0.000 0.000
0.000 4.784 0.000
0.000 0.000 4.784
Li Ag Ru
1 1 3
Cartesian
0.000 0.000 0.000
2.392 2.392 2.392
0.000 2.392 2.392
2.392 0.000 2.392
2.392 2.392 0.000
```

The following is a DFT calculation (GGA-PBEsol) of crystalline Li3AgRu at its relaxed geometry.

Energy of formation, eV per atom: 0.976

POSCAR file:
```
Li3AgRu
1.0
4.491 0.000 0.000
0.000 4.491 0.000
0.000 0.000 4.491
Li Ag Ru
3 1 1
Cartesian
0.000 0.000 2.245
0.000 2.245 0.000
2.245 0.000 0.000
0.000 0.000 0.000
2.245 2.245 2.245
```

The following is a DFT calculation (GGA-PBEsol) of crystalline LiAg2Ru at its relaxed geometry.

Energy of formation, eV per atom: 0.427

POSCAR file:
```
LiAg2Ru
1.0
0.000 3.122 3.122
3.122 0.000 3.122
3.122 3.122 0.000
Li Ag Ru
1 2 1
Cartesian
0.000 0.000 0.000
1.561 1.561 1.561
4.683 4.683 4.683
3.122 3.122 3.122
```

The following is a DFT calculation (GGA-PBEsol) of crystalline Li2AgRu at its relaxed geometry.

Energy of formation, eV per atom: 0.146

POSCAR file:
```
Li2AgRu
1.0
2.547 0.000 0.000
0.000 4.413 0.000
-0.217 0.000 5.002
Li Ag Ru
2 1 1
Cartesian
0.439 0.000 1.142
1.892 0.000 3.860
-0.108 2.206 2.501
1.274 2.206 0.000
```

The following is a DFT calculation (GGA-PBEsol) of crystalline Li3AgS at its relaxed geometry.

Raw formation energy, eV/atom: -0.596

POSCAR file:
```
Li3AgS
1.0
4.579 0.000 0.000
0.000 4.579 0.000
0.000 0.000 4.579
Li Ag S
3 1 1
Cartesian
0.000 0.000 2.290
0.000 2.290 0.000
2.290 0.000 0.000
2.290 2.290 2.290
0.000 0.000 0.000
```

The following is a DFT calculation (GGA-PBEsol) of crystalline LiAgSb2 at its relaxed geometry.

Raw formation energy, eV/atom: -0.153

POSCAR file:
```
LiAgSb2
1.0
4.533 0.000 0.000
0.000 4.533 0.000
0.000 0.000 4.112
Li Ag Sb
1 1 2
Cartesian
0.000 0.000 0.000
2.267 2.267 0.000
0.000 2.267 2.056
2.267 0.000 2.056
```

The following is a DFT calculation (GGA-PBEsol) of crystalline LiAg2Sb at its relaxed geometry.

Raw formation energy, eV/atom: -0.008

POSCAR file:
```
LiAg2Sb
1.0
-2.029 2.029 9.491
2.029 -2.029 9.491
2.029 2.029 -9.491
Li Ag Sb
2 4 2
Cartesian
0.000 0.000 0.000
0.000 2.029 4.746
3.043 1.009 -2.373
1.009 1.014 2.373
-1.014 1.020 7.118
1.020 1.014 11.864
2.029 0.000 4.746
0.000 0.000 9.491
```

The following is a DFT calculation (GGA-PBEsol) of crystalline Li2Ag2Sb at its relaxed geometry.

Raw formation energy, eV/atom: 0.056

POSCAR file:
```
Li2Ag2Sb
1.0
-1.930 1.930 6.355
1.930 -1.930 6.355
1.930 1.930 -6.355
Li Ag Sb
2 2 1
Cartesian
1.930 0.000 3.177
0.000 1.930 3.177
0.000 0.000 1.338
0.000 0.000 11.372
0.000 0.000 6.355
```

The following is a DFT calculation (GGA-PBEsol) of crystalline LiAgSb2 at its relaxed geometry.

Raw formation energy, eV/atom: -0.153

POSCAR file:
```
LiAgSb2
1.0
3.182 0.000 0.000
0.000 4.435 0.000
-0.012 0.000 6.408
Li Ag Sb
1 1 2
Cartesian
0.000 0.000 0.000
1.585 0.000 3.204
1.580 2.217 4.895
1.590 2.217 1.514
```

The following is a DFT calculation (GGA-PBEsol) of crystalline LiAgSb at its relaxed geometry.

Raw formation energy, eV/atom: -0.279

POSCAR file:
```
LiAgSb
1.0
4.683 0.000 0.000
-2.342 4.056 0.000
0.000 0.000 3.200
Li Ag Sb
1 1 1
Cartesian
0.000 0.000 0.000
2.342 1.352 1.600
0.000 2.704 1.600
```

The following is a DFT calculation (GGA-PBEsol) of crystalline LiAgSb at its relaxed geometry.

Raw formation energy, eV/atom: -0.256

POSCAR file:
```
LiAgSb
1.0
-1.859 1.859 4.150
1.859 -1.859 4.150
1.859 1.859 -4.150
Li Ag Sb
1 1 1
Cartesian
0.000 0.000 0.000
0.000 0.000 5.519
0.000 0.000 2.733
```

The following is a DFT calculation (GGA-PBEsol) of crystalline LiAg2Sb at its relaxed geometry.

Raw formation energy, eV/atom: -0.223

POSCAR file:
```
LiAg2Sb
1.0
-2.118 2.118 4.019
2.118 -2.118 4.019
2.118 2.118 -4.019
Li Ag Sb
1 2 1
Cartesian
0.000 0.000 0.000
2.118 0.000 2.010
0.000 2.118 2.010
0.000 0.000 4.019
```

The following is a DFT calculation (GGA-PBEsol) of crystalline LiAg2Sb at its relaxed geometry.

Raw formation energy, eV/atom: -0.143

POSCAR file:
```
LiAg2Sb
1.0
3.094 0.000 0.000
0.000 4.134 0.000
0.000 0.000 5.708
Li Ag Sb
1 2 1
Cartesian
0.000 0.000 0.000
0.000 0.000 3.000
1.547 2.067 4.321
1.547 2.067 1.431
```

The following is a DFT calculation (GGA-PBEsol) of crystalline LiAg2Sb at its relaxed geometry.

Raw formation energy, eV/atom: -0.133

POSCAR file:
```
LiAg2Sb
1.0
3.027 0.000 0.000
0.000 4.857 0.000
-0.154 0.000 5.045
Li Ag Sb
1 2 1
Cartesian
0.000 0.000 0.000
0.672 2.429 3.844
2.200 2.429 1.201
1.436 0.000 2.522
```

The following is a DFT calculation (GGA-PBEsol) of crystalline LiAg2Sb at its relaxed geometry.

Raw formation energy, eV/atom: -0.146

POSCAR file:
```
LiAg2Sb
1.0
3.071 0.000 0.000
0.000 4.453 0.000
-1.352 0.000 5.480
Li Ag Sb
1 2 1
Cartesian
0.000 0.000 0.000
0.131 2.226 3.800
1.641 0.000 2.794
1.529 2.226 1.120
```

The following is a DFT calculation (GGA-PBEsol) of crystalline LiAg2Sb at its relaxed geometry.

Raw formation energy, eV/atom: -0.221

POSCAR file:
```
LiAg2Sb
1.0
4.172 0.000 0.000
0.000 4.172 0.000
0.000 0.000 4.088
Li Ag Sb
1 2 1
Cartesian
0.000 0.000 0.000
0.000 2.086 2.044
2.086 0.000 2.044
2.086 2.086 0.000
```

The following is a DFT calculation (GGA-PBEsol) of crystalline LiAg2Sb at its relaxed geometry.

Raw formation energy, eV/atom: -0.206

POSCAR file:
```
LiAg2Sb
1.0
-2.150 2.150 3.897
2.150 -2.150 3.897
2.150 2.150 -3.897
Li Ag Sb
1 2 1
Cartesian
0.000 0.000 0.000
2.150 0.000 1.949
0.000 0.000 3.897
0.000 2.150 1.949
```

The following is a DFT calculation (GGA-PBEsol) of crystalline LiAgSb3 at its relaxed geometry.

Raw formation energy, eV/atom: 0.431

POSCAR file:
```
LiAgSb3
1.0
4.919 0.000 0.000
0.000 4.919 0.000
0.000 0.000 4.919
Li Ag Sb
1 1 3
Cartesian
0.000 0.000 0.000
2.459 2.459 2.459
0.000 0.000 2.459
0.000 2.459 0.000
2.459 0.000 0.000
```

The following is a DFT calculation (GGA-PBEsol) of crystalline LiAg2Sb at its relaxed geometry.

Raw formation energy, eV/atom: -0.188

POSCAR file:
```
LiAg2Sb
1.0
0.000 3.307 3.307
3.307 0.000 3.307
3.307 3.307 0.000
Li Ag Sb
1 2 1
Cartesian
0.000 0.000 0.000
3.307 3.307 3.307
4.960 4.960 4.960
1.653 1.653 1.653
```

The following is a DFT calculation (GGA-PBEsol) of crystalline LiAg2Sb at its relaxed geometry.

Raw formation energy, eV/atom: -0.113

POSCAR file:
```
LiAg2Sb
1.0
3.079 0.000 0.000
0.000 4.103 0.000
0.000 0.000 5.839
Li Ag Sb
1 2 1
Cartesian
0.000 0.000 0.000
1.539 2.052 1.373
1.539 2.052 4.466
0.000 0.000 2.919
```

Number 1: density of states at the Fermi level 1.22 states/eV/atom, spin magnetization 1.1274 μB/atom. Number 2: density of states at the Fermi level 0.88 states/eV/atom, spin magnetization 0.3804 μB/atom. Number 3: density of states at the Fermi level 1.25 states/eV/atom, spin magnetization 0.3440 μB/atom. Number 4: density of states at the Fermi level 0.30 states/eV/atom, spin magnetization 0.0000 μB/atom. Number 5: density of states at the Fermi level 0.01 states/eV/atom, spin magnetization 0.0000 μB/atom. Number 6: density of states at the Fermi level 0.37 states/eV/atom, spin magnetization 0.0000 μB/atom. Number 7: density of states at the Fermi level 0.43 states/eV/atom, spin magnetization 0.0000 μB/atom. Number 8: density of states at the Fermi level 0.42 states/eV/atom, spin magnetization 0.0000 μB/atom. Number 9: density of states at the Fermi level 0.26 states/eV/atom, spin magnetization 0.0000 μB/atom. Number 10: density of states at the Fermi level 0.12 states/eV/atom, spin magnetization 0.0000 μB/atom. Number 11: density of states at the Fermi level 0.21 states/eV/atom, spin magnetization 0.0000 μB/atom. Number 12: density of states at the Fermi level 0.25 states/eV/atom, spin magnetization 0.0000 μB/atom. Number 13: density of states at the Fermi level 0.29 states/eV/atom, spin magnetization 0.0000 μB/atom. Number 14: density of states at the Fermi level 0.28 states/eV/atom, spin magnetization 0.0000 μB/atom. Number 15: density of states at the Fermi level 0.29 states/eV/atom, spin magnetization 0.0000 μB/atom. Number 16: density of states at the Fermi level 0.33 states/eV/atom, spin magnetization 0.0000 μB/atom. Number 17: density of states at the Fermi level 0.25 states/eV/atom, spin magnetization 0.0000 μB/atom. Number 18: density of states at the Fermi level 0.63 states/eV/atom, spin magnetization 0.0000 μB/atom. Number 19: density of states at the Fermi level 0.24 states/eV/atom, spin magnetization 0.0000 μB/atom. Number 20: density of states at the Fermi level 0.35 states/eV/atom, spin magnetization 0.0000 μB/atom.